# 1
The following is a DFT calculation (PBE) of crystalline PrNiAu at its relaxed geometry.

a = 3.826 Å, b = 4.440 Å, c = 4.440 Å
α = 120.00°, β = 90.00°, γ = 90.00°
Fractional coordinates of all 3 atoms:
Pr 0.667 0.667 0.333
Ni 0.167 0.333 0.667
Au 0.167 0.000 0.000

Calculated values
- DFT formation energy (eV per atom) = -0.500
- volume (Å³/atom) = 21.8

# 2
The following is a DFT calculation (PBE) of crystalline Pr4Ni3Au at its relaxed geometry.

a = 3.933 Å, b = 4.536 Å, c = 10.658 Å
α = 90.00°, β = 90.00°, γ = 90.00°
Fractional coordinates of all 8 atoms:
Pr 0.500 0.500 0.374
Pr 0.000 0.500 0.849
Pr 0.000 0.000 0.143
Pr 0.500 0.000 0.637
Ni 0.000 0.500 0.572
Ni 0.000 0.000 0.433
Ni 0.500 0.000 0.919
Au 0.500 0.500 0.074

Calculated values
- DFT formation energy (eV per atom) = -0.397
- volume (Å³/atom) = 23.8

no.,magnetization (μB per atom)
1,0.00
2,0.00